Below is a geometry-optimized NdEr2Ga structure, with properties calculated at the PBE level.

abc: 4.7196 4.7596 4.7596
angles: 90.00 90.00 90.00
Last column: nearest neighbours and their distance in Å.
Atoms (fractional coordinates):
Nd 0.5000 0.5000 0.5000  8 Er 3.35, 4 Ga 3.37
Er 0.0000 0.0000 0.5000  4 Ga 3.35, 4 Nd 3.35, 4 Er 3.37
Ga 0.5000 0.0000 0.0000  8 Er 3.35, 4 Nd 3.37
Er 0.0000 0.5000 0.0000  4 Nd 3.35, 4 Ga 3.35, 4 Er 3.37

Computed properties:
Energy (eV/atom): -4.459
V (A^3/atom): 26.73
Energy of formation from the pure elements (kJ/mol of atoms): -22.1
ΔE to the lowest computed polymorph (meV/atom): 61

***

Below is a geometry-optimized Na3Dy3InSe8 structure, with properties calculated at the PBE level.

abc: 8.1625 8.1723 8.5472
angles: 118.63 90.00 119.96
Last column: nearest neighbours and their distance in Å.
Atoms (fractional coordinates):
In 0.0000 0.0000 0.5000  6 Se 2.83
Dy 0.5000 0.0000 0.5000  6 Se 2.87
Dy 0.5000 0.5000 0.5000  6 Se 2.87
Dy 0.0000 0.5000 0.5000  6 Se 2.87
Na 0.0000 0.5000 0.0000  6 Se 3.04
Se 0.2568 0.5137 0.2705  3 Dy 2.87, 3 Na 3.04
Se 0.7606 0.0130 0.2735  1 In 2.83, 2 Dy 2.87, 2 Na 3.04
Na 0.0000 0.0000 0.0000  6 Se 3.04
Na 0.5000 0.5000 0.0000  6 Se 3.04
Se 0.2394 0.9870 0.7265  1 In 2.83, 2 Dy 2.87, 2 Na 3.04
Se 0.7604 0.5208 0.2735  1 In 2.83, 2 Dy 2.87, 2 Na 3.04
Se 0.2525 0.0130 0.2735  1 In 2.83, 2 Dy 2.87, 2 Na 3.04
Se 0.7475 0.9870 0.7265  1 In 2.83, 2 Dy 2.87, 2 Na 3.04
Se 0.7432 0.4863 0.7295  3 Dy 2.87, 3 Na 3.04
Se 0.2396 0.4792 0.7265  1 In 2.83, 2 Dy 2.87, 2 Na 3.04

Computed properties:
Energy (eV/atom): -4.602
V (A^3/atom): 27.44
E_form (uncorrected) (eV/atom): -1.377